[1]
# Sr2YSi2

Crystalline Sr2YSi2 at its relaxed geometry (PBE, the Alexandria database).

Structure (POSCAR):
```
Sr2YSi2
1.0
-0.396 7.372 1.983
-2.557 1.743 -6.989
-4.633 -0.660 1.530
Y Sr Si
2 4 4
Direct
0.500 0.500 0.000 Y
0.000 0.000 0.000 Y
0.673 0.827 0.500 Sr
0.173 0.673 0.500 Sr
0.327 0.173 0.500 Sr
0.827 0.327 0.500 Sr
0.114 0.386 0.000 Si
0.614 0.114 0.000 Si
0.886 0.614 0.000 Si
0.386 0.886 0.000 Si
```

- electronic total energy (eV per atom) = -4.54
- symmetry = P4/mbm (127)

[2]
# Sr2YSi

Crystalline Sr2YSi at its relaxed geometry (PBE, the Alexandria database).

Structure (POSCAR):
```
Sr2YSi
1.0
11.437 0.005 0.003
10.782 3.814 0.003
10.782 1.853 3.333
Y Sr Si
1 2 1
Direct
0.250 0.250 0.250 Y
0.482 0.482 0.482 Sr
0.018 0.018 0.018 Sr
0.750 0.750 0.750 Si
```

- electronic total energy (eV per atom) = -3.65
- symmetry = R-3m (166)

[3]
# Sr2YSi

Crystalline Sr2YSi at its relaxed geometry (PBE, the Alexandria database).

Structure (POSCAR):
```
Sr2YSi
1.0
3.651 0.000 0.000
0.000 3.651 0.000
0.000 0.000 10.316
Sr Y Si
2 1 1
Direct
0.000 0.000 0.941 Sr
0.000 0.000 0.559 Sr
0.500 0.500 0.250 Y
0.500 0.500 0.750 Si
```

- electronic total energy (eV per atom) = -3.79
- symmetry = P4/mmm (123)

[4]
# SrY2Si2

Crystalline SrY2Si2 at its relaxed geometry (PBE, the Alexandria database).

Structure (POSCAR):
```
SrY2Si2
1.0
-0.109 4.881 -2.124
-3.932 -1.506 -3.259
-5.714 3.233 1.050
Y Si Sr
2 2 1
Direct
0.673 0.673 0.654 Y
0.327 0.327 0.346 Y
0.250 0.750 0.500 Si
0.750 0.250 0.500 Si
0.000 0.000 0.000 Sr
```

- electronic total energy (eV per atom) = -5.35
- relative energy among the computed polymorphs (meV/atom) = 194.4
- symmetry = I4/mmm (139)

[5]
# SrYSi4

Crystalline SrYSi4 at its relaxed geometry (PBE, the Alexandria database).

Structure (POSCAR):
```
SrYSi4
1.0
-1.138 -4.063 -0.961
7.370 -2.081 0.072
-1.111 -3.397 15.674
Y Si Sr
4 16 4
Direct
0.000 0.868 0.588 Y
0.000 0.632 0.088 Y
0.000 0.132 0.412 Y
0.000 0.368 0.912 Y
0.500 0.973 0.309 Si
0.500 0.473 0.191 Si
0.500 0.216 0.805 Si
0.500 0.617 0.550 Si
0.500 0.284 0.305 Si
0.500 0.784 0.195 Si
0.500 0.131 0.543 Si
0.500 0.883 0.050 Si
0.500 0.117 0.950 Si
0.500 0.716 0.695 Si
0.500 0.369 0.043 Si
0.500 0.869 0.457 Si
0.500 0.631 0.957 Si
0.500 0.027 0.691 Si
0.500 0.527 0.809 Si
0.500 0.383 0.450 Si
0.000 0.373 0.658 Sr
0.000 0.127 0.158 Sr
0.000 0.873 0.842 Sr
0.000 0.627 0.342 Sr
```

- electronic total energy (eV per atom) = -5.36
- relative energy among the computed polymorphs (meV/atom) = 0.0
- symmetry = Pbam (55)

[6]
# Sr2YSi

Crystalline Sr2YSi at its relaxed geometry (PBE, the Alexandria database).

Structure (POSCAR):
```
Sr2YSi
1.0
-10.333 1.739 3.416
1.849 -6.342 8.821
-3.379 -0.029 7.571
Sr Si Y
4 2 2
Direct
0.875 0.742 0.750 Sr
0.492 0.125 0.250 Sr
0.375 0.508 0.750 Sr
0.258 0.625 0.250 Sr
0.500 0.500 0.000 Si
0.250 0.750 0.500 Si
0.000 0.000 0.000 Y
0.750 0.250 0.500 Y
```

- electronic total energy (eV per atom) = -3.72
- symmetry = I-42d (122)

[7]
# Sr3YSi

Crystalline Sr3YSi at its relaxed geometry (PBE, the Alexandria database).

Structure (POSCAR):
```
Sr3YSi
1.0
-5.059 1.709 3.424
-1.173 -6.094 1.309
3.642 0.411 5.177
Y Sr Si
1 3 1
Direct
0.000 0.000 0.000 Y
0.000 0.000 0.500 Sr
0.500 0.000 0.000 Sr
0.000 0.500 0.000 Sr
0.500 0.500 0.500 Si
```

- electronic total energy (eV per atom) = -2.25
- relative energy among the computed polymorphs (meV/atom) = 950.7
- symmetry = Pm-3m (221)

[8]
# Sr2ZnSi

Crystalline Sr2ZnSi at its relaxed geometry (PBE, the Alexandria database).

Structure (POSCAR):
```
Sr2ZnSi
1.0
3.832 0.000 0.000
0.000 5.458 0.000
0.000 0.000 5.458
Si Sr Zn
1 2 1
Direct
0.500 0.000 0.000 Si
0.000 0.000 0.500 Sr
0.000 0.500 0.000 Sr
0.500 0.500 0.500 Zn
```

- electronic total energy (eV per atom) = -2.73
- relative energy among the computed polymorphs (meV/atom) = 115.4
- symmetry = P4/mmm (123)

[9]
# Sr2ZnSi

Crystalline Sr2ZnSi at its relaxed geometry (PBE, the Alexandria database).

Structure (POSCAR):
```
Sr2ZnSi
1.0
3.719 0.041 0.000
-0.043 3.719 0.000
0.000 0.000 8.908
Si Zn Sr
1 1 2
Direct
0.500 0.500 0.689 Si
0.000 0.000 0.560 Zn
0.000 0.000 0.919 Sr
0.500 0.500 0.333 Sr
```

- electronic total energy (eV per atom) = -2.50
- relative energy among the computed polymorphs (meV/atom) = 344.8
- symmetry = P4mm (99)

[10]
# Sr2ZnSi

Crystalline Sr2ZnSi at its relaxed geometry (PBE, the Alexandria database).

Structure (POSCAR):
```
Sr2ZnSi
1.0
4.386 0.000 0.000
0.000 6.549 0.101
0.000 -3.138 8.261
Zn Si Sr
2 2 4
Direct
0.250 0.394 0.228 Zn
0.750 0.606 0.772 Zn
0.250 0.369 0.716 Si
0.750 0.631 0.284 Si
0.250 0.793 0.577 Sr
0.250 0.778 0.067 Sr
0.750 0.222 0.933 Sr
0.750 0.207 0.423 Sr
```

- electronic total energy (eV per atom) = -2.85
- relative energy among the computed polymorphs (meV/atom) = 0.0
- symmetry = P2_1/m (11)

[11]
# Sr2Zn5Si

Crystalline Sr2Zn5Si at its relaxed geometry (PBE, the Alexandria database).

Structure (POSCAR):
```
Sr2Zn5Si
1.0
4.655 0.000 0.000
-2.327 8.225 0.000
0.000 0.000 9.004
Zn Si Sr
10 2 4
Direct
0.351 0.702 0.980 Zn
0.591 0.182 0.750 Zn
0.351 0.702 0.520 Zn
0.814 0.628 0.108 Zn
0.409 0.818 0.250 Zn
0.186 0.372 0.608 Zn
0.649 0.298 0.480 Zn
0.649 0.298 0.020 Zn
0.814 0.628 0.392 Zn
0.186 0.372 0.892 Zn
0.561 0.122 0.250 Si
0.439 0.878 0.750 Si
0.000 0.000 0.000 Sr
0.796 0.593 0.750 Sr
0.204 0.407 0.250 Sr
0.000 0.000 0.500 Sr
```

- electronic total energy (eV per atom) = -2.15
- symmetry = Cmcm (63)

[12]
# Sr2Zn5Si3

Crystalline Sr2Zn5Si3 at its relaxed geometry (PBE, the Alexandria database).

Structure (POSCAR):
```
Sr2Zn5Si3
1.0
4.287 0.000 0.000
0.000 4.287 0.000
0.000 0.000 10.652
Sr Zn Si
2 5 3
Direct
0.000 0.000 0.993 Sr
0.500 0.500 0.505 Sr
0.000 0.500 0.747 Zn
0.500 0.000 0.747 Zn
0.000 0.500 0.255 Zn
0.500 0.500 0.114 Zn
0.500 0.000 0.255 Zn
0.500 0.500 0.880 Si
0.000 0.000 0.615 Si
0.000 0.000 0.389 Si
```

- electronic total energy (eV per atom) = -2.91
- relative energy among the computed polymorphs (meV/atom) = 0.0
- symmetry = P4mm (99)

[13]
# Sr2ZnSi

Crystalline Sr2ZnSi at its relaxed geometry (PBE, the Alexandria database).

Structure (POSCAR):
```
Sr2ZnSi
1.0
-0.452 2.865 2.546
-1.269 -2.492 2.579
6.043 -3.587 5.108
Zn Sr Si
1 2 1
Direct
0.500 0.250 0.250 Zn
0.000 0.489 0.511 Sr
0.000 0.011 0.989 Sr
0.500 0.750 0.750 Si
```

- electronic total energy (eV per atom) = -2.71
- relative energy among the computed polymorphs (meV/atom) = 136.2
- symmetry = Pmmm (47)

[14]
# Sr2Zn2Si3

Crystalline Sr2Zn2Si3 at its relaxed geometry (PBE, the Alexandria database).

Structure (POSCAR):
```
Sr2Zn2Si3
1.0
4.574 0.000 -1.090
0.000 6.843 0.000
-0.126 0.000 9.608
Sr Si Zn
4 6 4
Direct
0.843 0.750 0.686 Sr
0.050 0.750 0.100 Sr
0.950 0.250 0.900 Sr
0.157 0.250 0.314 Sr
0.442 0.924 0.885 Si
0.223 0.750 0.447 Si
0.558 0.424 0.115 Si
0.777 0.250 0.553 Si
0.558 0.076 0.115 Si
0.442 0.576 0.885 Si
0.684 0.559 0.369 Zn
0.684 0.941 0.369 Zn
0.316 0.059 0.631 Zn
0.316 0.441 0.631 Zn
```

- electronic total energy (eV per atom) = -3.49
- symmetry = Cmcm (63)

[15]
# SrZnSi

Crystalline SrZnSi at its relaxed geometry (PBE, the Alexandria database).

Structure (POSCAR):
```
SrZnSi
1.0
-3.149 -2.942 1.879
-0.468 -4.352 -1.717
1.447 -3.692 2.526
Si Sr Zn
1 1 1
Direct
0.000 0.000 0.000 Si
0.500 0.500 0.500 Sr
0.750 0.750 0.750 Zn
```

- electronic total energy (eV per atom) = -2.91
- symmetry = F-43m (216)

[16]
# Sr4Zn3Si5

Crystalline Sr4Zn3Si5 at its relaxed geometry (PBE, the Alexandria database).

Structure (POSCAR):
```
Sr4Zn3Si5
1.0
4.262 0.000 0.000
-2.131 3.691 0.000
0.000 0.000 18.287
Si Sr Zn
5 4 3
Direct
0.667 0.333 0.748 Si
0.000 0.000 0.000 Si
0.000 0.000 0.500 Si
0.667 0.333 0.252 Si
0.667 0.333 0.000 Si
0.333 0.667 0.128 Sr
0.333 0.667 0.624 Sr
0.333 0.667 0.872 Sr
0.333 0.667 0.376 Sr
0.000 0.000 0.750 Zn
0.667 0.333 0.500 Zn
0.000 0.000 0.250 Zn
```

- electronic total energy (eV per atom) = -3.55
- symmetry = P-6m2 (187)

[17]
# SrZn6Si2

Crystalline SrZn6Si2 at its relaxed geometry (PBE, the Alexandria database).

Structure (POSCAR):
```
SrZn6Si2
1.0
4.209 0.000 0.000
0.000 4.209 0.000
0.000 0.000 8.894
Zn Si Sr
6 2 1
Direct
0.000 0.500 0.698 Zn
0.500 0.500 0.500 Zn
0.500 0.000 0.302 Zn
0.500 0.000 0.698 Zn
0.000 0.000 0.500 Zn
0.000 0.500 0.302 Zn
0.500 0.500 0.140 Si
0.500 0.500 0.860 Si
0.000 0.000 0.000 Sr
```

- electronic total energy (eV per atom) = -2.36
- symmetry = P4/mmm (123)

[18]
# Sr3ZnSi2

Crystalline Sr3ZnSi2 at its relaxed geometry (PBE, the Alexandria database).

Structure (POSCAR):
```
Sr3ZnSi2
1.0
7.178 0.000 -2.978
0.000 10.817 0.000
-0.432 0.000 10.432
Si Sr Zn
8 12 4
Direct
0.343 0.704 0.379 Si
0.769 0.462 0.231 Si
0.157 0.204 0.121 Si
0.269 0.038 0.731 Si
0.731 0.962 0.269 Si
0.843 0.796 0.879 Si
0.231 0.538 0.769 Si
0.657 0.296 0.621 Si
0.174 0.031 0.388 Sr
0.674 0.469 0.888 Sr
0.765 0.560 0.524 Sr
0.401 0.774 0.690 Sr
0.235 0.440 0.476 Sr
0.735 0.060 0.976 Sr
0.326 0.531 0.112 Sr
0.826 0.969 0.612 Sr
0.599 0.226 0.310 Sr
0.099 0.274 0.810 Sr
0.901 0.726 0.190 Sr
0.265 0.940 0.024 Sr
0.552 0.818 0.323 Zn
0.948 0.318 0.177 Zn
0.448 0.182 0.677 Zn
0.052 0.682 0.823 Zn
```

- electronic total energy (eV per atom) = -3.19
- symmetry = P2_1/c (14)

[19]
# SrZnSi

Crystalline SrZnSi at its relaxed geometry (PBE, the Alexandria database).

Structure (POSCAR):
```
SrZnSi
1.0
-3.574 -1.427 -1.818
1.381 -1.738 3.632
-2.475 3.107 2.427
Si Zn Sr
1 1 1
Direct
0.000 0.000 0.833 Si
0.333 0.667 0.833 Zn
0.667 0.333 0.333 Sr
```

- electronic total energy (eV per atom) = -3.21
- symmetry = P-6m2 (187)

[20]
# Sr3Zn3Si2

Crystalline Sr3Zn3Si2 at its relaxed geometry (PBE, the Alexandria database).

Structure (POSCAR):
```
Sr3Zn3Si2
1.0
4.296 0.000 0.000
-2.148 5.919 0.000
0.000 0.000 16.411
Zn Si Sr
6 4 6
Direct
0.425 0.850 0.558 Zn
0.575 0.150 0.058 Zn
0.425 0.850 0.942 Zn
0.267 0.534 0.250 Zn
0.575 0.150 0.442 Zn
0.733 0.466 0.750 Zn
0.856 0.713 0.886 Si
0.144 0.287 0.114 Si
0.856 0.713 0.614 Si
0.144 0.287 0.386 Si
0.556 0.113 0.250 Sr
0.444 0.887 0.750 Sr
0.148 0.296 0.909 Sr
0.148 0.296 0.591 Sr
0.852 0.704 0.409 Sr
0.852 0.704 0.091 Sr
```

- electronic total energy (eV per atom) = -2.80
- symmetry = Cmcm (63)